# 1
! Tm2LuTi, optimized geometry, DFT PBE; values from VASP
&SYSTEM
  ibrav = 0, nat = 4, ntyp = 3
/
ATOMIC_SPECIES
Ti 47.87 Ti.upf
Tm 168.93 Tm.upf
Lu 174.97 Lu.upf
CELL_PARAMETERS angstrom
-2.691 -2.565 -2.898
2.113 -3.941 1.525
-3.252 -0.429 3.400
ATOMIC_POSITIONS angstrom
Ti -1.346 -1.282 -1.449
Tm -1.626 -0.214 1.700
Tm 1.057 -1.970 0.762
Lu -1.915 -3.467 1.013
! Crystal system: tetragonal
! Total energy: -0.1895 hartree per atom
! Energy of formation: 183 meV/atom
! Relative energy among the computed polymorphs: 0 meV/atom

***

# 2
! TmLu2Ti, optimized geometry, DFT PBE; values from VASP
&SYSTEM
  ibrav = 0, nat = 4, ntyp = 3
/
ATOMIC_SPECIES
Lu 174.97 Lu.upf
Ti 47.87 Ti.upf
Tm 168.93 Tm.upf
CELL_PARAMETERS angstrom
-0.451 -0.982 -5.209
3.962 -2.413 -2.604
-0.604 -4.998 -1.722
ATOMIC_POSITIONS angstrom
Lu 0.727 -2.098 -2.384
Ti 1.454 -4.196 -4.768
Tm 0.000 0.000 0.000
Lu 2.181 -6.295 -7.152
! Crystal system: cubic
! Total energy: -0.1882 hartree per atom
! Energy of formation: 231 meV/atom
! Relative energy among the computed polymorphs: 84 meV/atom

***

# 3
! TmLu2Ti, optimized geometry, DFT PBE; values from VASP
&SYSTEM
  ibrav = 0, nat = 4, ntyp = 3
/
ATOMIC_SPECIES
Tm 168.93 Tm.upf
Lu 174.97 Lu.upf
Ti 47.87 Ti.upf
CELL_PARAMETERS angstrom
4.715 0.000 0.000
0.000 4.711 0.000
0.000 0.000 4.711
ATOMIC_POSITIONS angstrom
Tm 2.358 2.355 2.355
Lu 0.000 2.355 0.000
Lu 0.000 0.000 2.355
Ti 2.358 0.000 0.000
! Crystal system: tetragonal
! Total energy: -0.1900 hartree per atom
! Energy of formation: 181 meV/atom
! Relative energy among the computed polymorphs: 33 meV/atom

***

# 4
! TmLu2Ti, optimized geometry, DFT PBE; values from VASP
&SYSTEM
  ibrav = 0, nat = 4, ntyp = 3
/
ATOMIC_SPECIES
Ti 47.87 Ti.upf
Tm 168.93 Tm.upf
Lu 174.97 Lu.upf
CELL_PARAMETERS angstrom
3.343 0.000 0.000
0.000 3.343 0.000
0.000 0.000 9.355
ATOMIC_POSITIONS angstrom
Ti 1.671 1.671 0.000
Tm 1.671 1.671 4.677
Lu 0.000 0.000 2.065
Lu 0.000 0.000 7.290
! Crystal system: tetragonal
! Total energy: -0.1913 hartree per atom
! Energy of formation: 148 meV/atom
! Relative energy among the computed polymorphs: 0 meV/atom

***

# 5
! Tm2LuTi, optimized geometry, DFT PBE; values from VASP
&SYSTEM
  ibrav = 0, nat = 4, ntyp = 3
/
ATOMIC_SPECIES
Lu 174.97 Lu.upf
Tm 168.93 Tm.upf
Ti 47.87 Ti.upf
CELL_PARAMETERS angstrom
-2.289 0.719 2.275
-2.936 -1.519 -0.071
2.388 -8.568 7.514
ATOMIC_POSITIONS angstrom
Lu -1.419 -4.684 4.859
Tm 1.337 -6.456 5.790
Ti 0.000 0.000 0.000
Tm -4.175 -2.911 3.929
! Crystal system: trigonal
! Total energy: -0.1814 hartree per atom
! Energy of formation: 402 meV/atom
! Relative energy among the computed polymorphs: 219 meV/atom

***

# 6
! TmLuZrTi, optimized geometry, DFT PBE; values from VASP
&SYSTEM
  ibrav = 0, nat = 4, ntyp = 4
/
ATOMIC_SPECIES
Zr 91.22 Zr.upf
Ti 47.87 Ti.upf
Lu 174.97 Lu.upf
Tm 168.93 Tm.upf
CELL_PARAMETERS angstrom
5.189 0.000 0.000
2.595 4.494 0.000
2.595 1.498 4.237
ATOMIC_POSITIONS angstrom
Zr 0.000 0.000 0.000
Ti 2.595 1.498 1.059
Lu 7.784 4.494 3.178
Tm 5.189 2.996 2.119
! Crystal system: cubic
! Total energy: -0.2252 hartree per atom
! Energy of formation: 231 meV/atom

***

# 7
! YLu2Ti, optimized geometry, DFT PBE; values from VASP
&SYSTEM
  ibrav = 0, nat = 4, ntyp = 3
/
ATOMIC_SPECIES
Lu 174.97 Lu.upf
Y 88.91 Y.upf
Ti 47.87 Ti.upf
CELL_PARAMETERS angstrom
3.351 0.000 0.000
0.000 3.351 0.000
0.000 0.000 9.479
ATOMIC_POSITIONS angstrom
Lu 0.000 0.000 2.051
Lu 0.000 0.000 7.428
Y 1.676 1.676 4.739
Ti 1.676 1.676 0.000
! Crystal system: tetragonal
! Total energy: -0.2095 hartree per atom
! Energy of formation: 149 meV/atom
! Relative energy among the computed polymorphs: 0 meV/atom

***

# 8
! YLuTi4, optimized geometry, DFT PBE; values from VASP
&SYSTEM
  ibrav = 0, nat = 6, ntyp = 3
/
ATOMIC_SPECIES
Ti 47.87 Ti.upf
Y 88.91 Y.upf
Lu 174.97 Lu.upf
CELL_PARAMETERS angstrom
5.774 0.000 0.000
2.887 5.001 0.000
2.887 1.667 4.715
ATOMIC_POSITIONS angstrom
Ti 7.225 4.171 2.950
Ti 5.774 1.659 2.950
Ti 5.774 3.334 0.581
Ti 4.324 4.171 2.950
Y 2.887 1.667 1.179
Lu 0.000 0.000 0.000
! Crystal system: cubic
! Total energy: -0.2524 hartree per atom
! Energy of formation: 226 meV/atom

***

# 9
! YLu2Ti, optimized geometry, DFT PBE; values from VASP
&SYSTEM
  ibrav = 0, nat = 4, ntyp = 3
/
ATOMIC_SPECIES
Lu 174.97 Lu.upf
Y 88.91 Y.upf
Ti 47.87 Ti.upf
CELL_PARAMETERS angstrom
4.757 0.000 0.000
0.000 4.738 0.000
0.000 0.000 4.738
ATOMIC_POSITIONS angstrom
Lu 0.000 0.000 2.369
Y 2.379 0.000 0.000
Lu 0.000 2.369 0.000
Ti 2.379 2.369 2.369
! Crystal system: tetragonal
! Total energy: -0.2079 hartree per atom
! Energy of formation: 194 meV/atom
! Relative energy among the computed polymorphs: 45 meV/atom

***

# 10
! YLu2Ti, optimized geometry, DFT PBE; values from VASP
&SYSTEM
  ibrav = 0, nat = 4, ntyp = 3
/
ATOMIC_SPECIES
Ti 47.87 Ti.upf
Lu 174.97 Lu.upf
Y 88.91 Y.upf
CELL_PARAMETERS angstrom
3.324 0.000 0.000
1.662 2.879 0.000
1.662 0.960 11.551
ATOMIC_POSITIONS angstrom
Ti 0.000 0.000 0.000
Lu 1.662 0.960 8.650
Y 3.324 1.919 5.775
Lu 4.986 2.879 2.901
! Crystal system: trigonal
! Total energy: -0.1997 hartree per atom
! Energy of formation: 417 meV/atom
! Relative energy among the computed polymorphs: 269 meV/atom

***

# 11
! Y2LuTi, optimized geometry, DFT PBE; values from VASP
&SYSTEM
  ibrav = 0, nat = 4, ntyp = 3
/
ATOMIC_SPECIES
Y 88.91 Y.upf
Lu 174.97 Lu.upf
Ti 47.87 Ti.upf
CELL_PARAMETERS angstrom
-3.162 1.400 -1.182
-0.020 -2.383 -2.771
-4.218 -5.505 4.766
ATOMIC_POSITIONS angstrom
Y -0.896 -1.169 1.012
Lu -3.700 -3.244 0.407
Y -3.323 -4.336 3.754
Ti -1.591 -0.491 -1.976
! Crystal system: tetragonal
! Total energy: -0.2257 hartree per atom
! Energy of formation: 193 meV/atom

***

# 12
! LuTiZn4, optimized geometry, DFT PBE; values from VASP
&SYSTEM
  ibrav = 0, nat = 6, ntyp = 3
/
ATOMIC_SPECIES
Zn 65.41 Zn.upf
Lu 174.97 Lu.upf
Ti 47.87 Ti.upf
CELL_PARAMETERS angstrom
-2.776 0.538 4.397
-4.288 -2.895 0.756
0.014 -3.807 3.583
ATOMIC_POSITIONS angstrom
Zn -4.418 -1.943 3.665
Zn -4.411 -3.857 5.466
Lu -1.762 -1.541 2.184
Zn -3.015 -4.127 3.255
Ti 0.000 0.000 0.000
Zn -2.255 -2.401 5.086
! Crystal system: cubic
! Total energy: -0.1155 hartree per atom
! Energy of formation: -224 meV/atom

***

# 13
! LuTi2Zn, optimized geometry, DFT PBE; values from VASP
&SYSTEM
  ibrav = 0, nat = 4, ntyp = 3
/
ATOMIC_SPECIES
Zn 65.41 Zn.upf
Ti 47.87 Ti.upf
Lu 174.97 Lu.upf
CELL_PARAMETERS angstrom
2.970 0.000 0.000
1.485 2.572 0.000
1.485 0.857 10.347
ATOMIC_POSITIONS angstrom
Zn 2.970 1.715 5.174
Ti 1.485 0.857 7.354
Lu 0.000 0.000 0.000
Ti 4.455 2.572 2.993
! Crystal system: trigonal
! Total energy: -0.1851 hartree per atom
! Energy of formation: 359 meV/atom

***

# 14
! Lu2TiZn, optimized geometry, DFT PBE; values from VASP
&SYSTEM
  ibrav = 0, nat = 4, ntyp = 3
/
ATOMIC_SPECIES
Ti 47.87 Ti.upf
Lu 174.97 Lu.upf
Zn 65.41 Zn.upf
CELL_PARAMETERS angstrom
-3.505 0.297 1.502
-1.557 -3.512 -2.937
1.151 -3.303 3.339
ATOMIC_POSITIONS angstrom
Ti -1.955 -3.259 0.952
Lu 0.576 -1.651 1.670
Zn -1.752 0.149 0.751
Lu -0.778 -1.756 -1.468
! Crystal system: tetragonal
! Total energy: -0.1668 hartree per atom
! Energy of formation: 13 meV/atom

***

# 15
! LuTiZn, optimized geometry, DFT PBE; values from VASP
&SYSTEM
  ibrav = 0, nat = 3, ntyp = 3
/
ATOMIC_SPECIES
Zn 65.41 Zn.upf
Ti 47.87 Ti.upf
Lu 174.97 Lu.upf
CELL_PARAMETERS angstrom
3.316 0.000 0.000
0.000 4.626 0.000
0.000 -2.313 4.007
ATOMIC_POSITIONS angstrom
Zn 0.549 0.000 0.000
Ti 0.555 0.000 2.671
Lu 2.212 2.313 1.336
! Crystal system: trigonal
! Total energy: -0.1658 hartree per atom
! Energy of formation: 50 meV/atom

***

# 16
! Lu2ZrTi, optimized geometry, DFT PBE; values from VASP
&SYSTEM
  ibrav = 0, nat = 4, ntyp = 3
/
ATOMIC_SPECIES
Lu 174.97 Lu.upf
Zr 91.22 Zr.upf
Ti 47.87 Ti.upf
CELL_PARAMETERS angstrom
-0.547 1.005 -4.487
1.356 -4.212 -1.109
-4.322 -1.445 0.203
ATOMIC_POSITIONS angstrom
Lu -2.161 -0.722 0.101
Zr -0.273 0.503 -2.243
Ti -1.756 -2.326 -2.696
Lu 0.678 -2.106 -0.555
! Crystal system: tetragonal
! Total energy: -0.2281 hartree per atom
! Energy of formation: 164 meV/atom
! Relative energy among the computed polymorphs: 0 meV/atom

***

# 17
! LuZrTi4, optimized geometry, DFT PBE; values from VASP
&SYSTEM
  ibrav = 0, nat = 6, ntyp = 3
/
ATOMIC_SPECIES
Ti 47.87 Ti.upf
Lu 174.97 Lu.upf
Zr 91.22 Zr.upf
CELL_PARAMETERS angstrom
5.617 0.000 0.000
2.809 4.864 0.000
2.809 1.621 4.586
ATOMIC_POSITIONS angstrom
Ti 7.040 4.065 2.874
Ti 5.617 3.243 0.550
Lu 2.809 1.621 1.147
Ti 4.194 4.065 2.874
Ti 5.617 1.600 2.874
Zr 0.000 0.000 0.000
! Crystal system: cubic
! Total energy: -0.2661 hartree per atom
! Energy of formation: 200 meV/atom

***

# 18
! LuZrTi2, optimized geometry, DFT PBE; values from VASP
&SYSTEM
  ibrav = 0, nat = 4, ntyp = 3
/
ATOMIC_SPECIES
Ti 47.87 Ti.upf
Zr 91.22 Zr.upf
Lu 174.97 Lu.upf
CELL_PARAMETERS angstrom
-1.049 2.571 -2.283
1.698 -1.688 -2.682
-5.549 -3.455 -1.340
ATOMIC_POSITIONS angstrom
Ti -4.396 -2.737 -1.062
Ti -1.153 -0.718 -0.279
Zr 0.324 0.442 -2.482
Lu -2.450 -1.286 -3.152
! Crystal system: tetragonal
! Total energy: -0.2606 hartree per atom
! Energy of formation: 125 meV/atom
! Relative energy among the computed polymorphs: 0 meV/atom

***

# 19
! Lu2ZrTi, optimized geometry, DFT PBE; values from VASP
&SYSTEM
  ibrav = 0, nat = 4, ntyp = 3
/
ATOMIC_SPECIES
Ti 47.87 Ti.upf
Lu 174.97 Lu.upf
Zr 91.22 Zr.upf
CELL_PARAMETERS angstrom
-2.446 1.907 -2.151
-2.757 -0.757 2.464
1.462 5.694 3.385
ATOMIC_POSITIONS angstrom
Ti -2.602 0.575 0.156
Lu 1.119 4.355 2.589
Zr -1.870 3.422 1.849
Lu 0.344 1.339 0.796
! Crystal system: tetragonal
! Total energy: -0.2244 hartree per atom
! Energy of formation: 265 meV/atom
! Relative energy among the computed polymorphs: 101 meV/atom

***

# 20
! LuZrTi2, optimized geometry, DFT PBE; values from VASP
&SYSTEM
  ibrav = 0, nat = 4, ntyp = 3
/
ATOMIC_SPECIES
Ti 47.87 Ti.upf
Zr 91.22 Zr.upf
Lu 174.97 Lu.upf
CELL_PARAMETERS angstrom
-1.097 -3.519 2.224
0.975 -2.532 -3.525
4.189 -0.395 1.442
ATOMIC_POSITIONS angstrom
Ti 2.095 -0.197 0.721
Ti 0.487 -1.266 -1.762
Zr -0.549 -1.760 1.112
Lu 2.033 -3.223 0.071
! Crystal system: tetragonal
! Total energy: -0.2585 hartree per atom
! Energy of formation: 180 meV/atom
! Relative energy among the computed polymorphs: 56 meV/atom

***

# 21
! Lu3Tl, optimized geometry, DFT PBE; values from VASP
&SYSTEM
  ibrav = 0, nat = 4, ntyp = 2
/
ATOMIC_SPECIES
Lu 174.97 Lu.upf
Tl 204.38 Tl.upf
CELL_PARAMETERS angstrom
-3.379 -1.357 3.944
0.350 -4.844 2.286
1.801 -0.467 5.035
ATOMIC_POSITIONS angstrom
Lu -0.307 -1.667 2.816
Lu 0.000 0.000 0.000
Tl -0.614 -3.334 5.633
Lu -0.921 -5.001 8.449
! Crystal system: cubic
! Total energy: -0.1459 hartree per atom
! Energy of formation: 13 meV/atom

***

# 22
! Lu3Tl, optimized geometry, DFT PBE; values from VASP
&SYSTEM
  ibrav = 0, nat = 8, ntyp = 2
/
ATOMIC_SPECIES
Lu 174.97 Lu.upf
Tl 204.38 Tl.upf
CELL_PARAMETERS angstrom
-3.288 3.409 -4.814
1.238 -6.594 -0.778
-4.803 -1.189 2.438
ATOMIC_POSITIONS angstrom
Lu -6.132 0.841 -2.309
Lu -2.357 -3.519 -3.239
Tl -2.980 -0.222 -2.859
Lu -4.497 -0.854 0.085
Lu -0.722 -5.215 -0.844
Tl -3.873 -4.151 -0.294
Lu -1.337 -1.936 -0.458
Lu -5.516 -2.438 -2.696
! Crystal system: hexagonal
! Total energy: -0.1514 hartree per atom
! Energy of formation: -138 meV/atom

***

# 23
! Lu5Tl, optimized geometry, DFT PBE; values from VASP
&SYSTEM
  ibrav = 0, nat = 6, ntyp = 2
/
ATOMIC_SPECIES
Lu 174.97 Lu.upf
Tl 204.38 Tl.upf
CELL_PARAMETERS angstrom
-3.162 -1.638 3.175
3.579 -1.560 2.759
-1.650 7.241 2.093
ATOMIC_POSITIONS angstrom
Lu -1.534 1.383 2.771
Lu 0.094 4.347 2.336
Lu 0.208 -1.599 2.967
Lu 1.835 1.334 2.516
Tl 0.000 0.000 0.000
Lu 0.300 2.660 5.256
! Crystal system: orthorhombic
! Total energy: -0.1567 hartree per atom
! Energy of formation: -103 meV/atom

***

# 24
! Lu3Tl, optimized geometry, DFT PBE; values from VASP
&SYSTEM
  ibrav = 0, nat = 4, ntyp = 2
/
ATOMIC_SPECIES
Lu 174.97 Lu.upf
Tl 204.38 Tl.upf
CELL_PARAMETERS angstrom
3.409 0.000 0.000
0.000 3.399 0.000
0.000 0.000 10.283
ATOMIC_POSITIONS angstrom
Lu 1.705 0.000 7.285
Lu 1.705 1.699 1.890
Lu 0.000 1.699 4.858
Tl 0.000 0.000 9.962
! Crystal system: orthorhombic
! Total energy: -0.1429 hartree per atom
! Energy of formation: 93 meV/atom

***

# 25
! Lu3Tl5, optimized geometry, DFT PBE; values from VASP
&SYSTEM
  ibrav = 0, nat = 16, ntyp = 2
/
ATOMIC_SPECIES
Tl 204.38 Tl.upf
Lu 174.97 Lu.upf
CELL_PARAMETERS angstrom
-4.764 1.724 -3.944
-3.095 -2.567 5.005
-0.391 9.420 4.590
ATOMIC_POSITIONS angstrom
Tl -1.907 1.144 3.479
Lu -4.689 1.863 1.768
Lu -4.601 5.511 0.276
Tl -7.892 1.519 2.201
Lu -3.649 3.066 5.376
Tl -2.305 0.034 0.446
Lu -3.454 -1.644 3.081
Tl -2.477 4.185 2.469
Tl -2.666 3.097 -0.593
Tl -5.773 4.393 3.183
Lu -3.561 6.715 3.884
Tl -0.358 7.058 3.451
Lu -4.405 0.801 -2.019
Tl -5.584 5.481 6.245
Tl -5.945 8.544 5.206
Tl -6.344 7.433 2.173
! Crystal system: orthorhombic
! Total energy: -0.1235 hartree per atom
! Energy of formation: -186 meV/atom

***

# 26
! LuTl2, optimized geometry, DFT PBE; values from VASP
&SYSTEM
  ibrav = 0, nat = 6, ntyp = 2
/
ATOMIC_SPECIES
Lu 174.97 Lu.upf
Tl 204.38 Tl.upf
CELL_PARAMETERS angstrom
6.182 0.000 0.000
3.091 5.354 0.000
3.091 1.785 5.047
ATOMIC_POSITIONS angstrom
Lu 3.091 1.785 1.262
Tl 4.636 4.461 3.155
Tl 6.182 3.569 0.631
Lu 0.000 0.000 0.000
Tl 7.727 4.461 3.155
Tl 6.182 1.785 3.155
! Crystal system: cubic
! Total energy: -0.1098 hartree per atom
! Energy of formation: 96 meV/atom

***

# 27
! Lu3Tl, optimized geometry, DFT PBE; values from VASP
&SYSTEM
  ibrav = 0, nat = 4, ntyp = 2
/
ATOMIC_SPECIES
Lu 174.97 Lu.upf
Tl 204.38 Tl.upf
CELL_PARAMETERS angstrom
-1.109 0.489 3.229
-4.546 -3.544 -1.025
5.794 -2.760 0.565
ATOMIC_POSITIONS angstrom
Lu 1.537 -1.187 2.549
Lu -2.706 -1.433 1.130
Lu 0.032 -3.513 0.543
Tl -0.036 -0.028 -0.008
! Crystal system: orthorhombic
! Total energy: -0.1513 hartree per atom
! Energy of formation: -134 meV/atom

***

# 28
! Tm2LuTl, optimized geometry, DFT PBE; values from VASP
&SYSTEM
  ibrav = 0, nat = 4, ntyp = 3
/
ATOMIC_SPECIES
Tl 204.38 Tl.upf
Lu 174.97 Lu.upf
Tm 168.93 Tm.upf
CELL_PARAMETERS angstrom
3.544 0.000 0.000
0.000 3.544 0.000
0.000 0.000 9.063
ATOMIC_POSITIONS angstrom
Tl 1.772 1.772 0.000
Lu 1.772 1.772 4.532
Tm 0.000 0.000 2.129
Tm 0.000 0.000 6.934
! Crystal system: tetragonal
! Total energy: -0.1512 hartree per atom
! Energy of formation: -157 meV/atom
! Relative energy among the computed polymorphs: 0 meV/atom

***

# 29
! Tm2LuTl, optimized geometry, DFT PBE; values from VASP
&SYSTEM
  ibrav = 0, nat = 4, ntyp = 3
/
ATOMIC_SPECIES
Tm 168.93 Tm.upf
Tl 204.38 Tl.upf
Lu 174.97 Lu.upf
CELL_PARAMETERS angstrom
5.388 0.000 0.000
2.694 4.666 0.000
2.694 1.555 4.399
ATOMIC_POSITIONS angstrom
Tm 8.082 4.666 3.299
Tl 5.388 3.111 2.200
Tm 2.694 1.555 1.100
Lu 0.000 0.000 0.000
! Crystal system: cubic
! Total energy: -0.1457 hartree per atom
! Energy of formation: -7 meV/atom
! Relative energy among the computed polymorphs: 150 meV/atom